1.
Entry from Alexandria via LeMat-Bulk: crystalline Ho3Er4Tm2 at its relaxed geometry (PBE-GGA).

## Properties
DFT total energy (eV/atom): -4.441
Crystal system: monoclinic
Formation enthalpy at 0 K (eV per atom): 0.106
Symmetry: C2/c, No. 15

Cell: 6.0373 11.0780 11.0780 Å, 61.95 62.02 62.02°
Last column: nearest neighbours and their distance in Å.
Fractional positions:
Ho1 0.7470 0.0702 0.2639  6 Er 3.33-3.44, 2 Tm 3.43
Tm1 0.5792 0.7609 0.4790  4 Er 3.24-3.55, 4 Ho 3.32-3.43
Er1 0.4207 0.9049 0.1879  1 Tm 3.24, 4 Ho 3.33-3.44, 3 Er 3.35-3.55
Er2 0.0780 0.1457 0.4295  1 Er 3.24, 4 Ho 3.34-3.42, 3 Tm 3.35-3.55
Er3 0.0793 0.8121 0.0951  1 Tm 3.24, 4 Ho 3.33-3.44, 3 Er 3.35-3.55
Er4 0.4220 0.5705 0.8543  1 Er 3.24, 4 Ho 3.34-3.42, 3 Tm 3.35-3.55
Ho2 0.7500 0.4031 0.5969  4 Tm 3.32-3.43, 4 Er 3.42
Ho3 0.2500 0.5969 0.4031  4 Tm 3.32-3.43, 4 Er 3.42
Tm2 0.4208 0.2391 0.5210  4 Er 3.24-3.55, 4 Ho 3.32-3.43
Ho4 0.7530 0.7361 0.9298  6 Er 3.33-3.44, 2 Tm 3.43
Er5 0.5780 0.4295 0.1457  1 Er 3.24, 4 Ho 3.34-3.42, 3 Tm 3.35-3.55
Tm3 0.9208 0.5210 0.2391  4 Er 3.24-3.55, 4 Ho 3.32-3.43
Er6 0.9220 0.8543 0.5705  1 Er 3.24, 4 Ho 3.34-3.42, 3 Tm 3.35-3.55
Er7 0.5793 0.0951 0.8121  1 Tm 3.24, 4 Ho 3.33-3.44, 3 Er 3.35-3.55
Tm4 0.0792 0.4790 0.7609  4 Er 3.24-3.55, 4 Ho 3.32-3.43
Ho5 0.2470 0.2639 0.0702  6 Er 3.33-3.44, 2 Tm 3.43
Ho6 0.2530 0.9298 0.7361  6 Er 3.33-3.44, 2 Tm 3.43
Er8 0.9207 0.1879 0.9049  1 Tm 3.24, 4 Ho 3.33-3.44, 3 Er 3.35-3.55

=====

2.
Entry from Alexandria via LeMat-Bulk: crystalline Tm12Tl2Ga5 at its relaxed geometry (PBE-GGA).

## Properties
DFT total energy (eV/atom): -4.054
Crystal system: monoclinic
Formation enthalpy at 0 K (eV per atom): -0.185
Symmetry: C2/m, No. 12

Cell: 6.9780 8.6763 9.6386 Å, 96.94 90.00 113.71°
Last column: nearest neighbours and their distance in Å.
Fractional positions:
Ga1 0.7120 0.4240 0.3548  7 Tm 2.79-3.03
Tm1 0.4802 0.9603 0.6943  2 Ga 2.97-3.03, 2 Tl 3.29
Ga2 0.2880 0.5760 0.6452  7 Tm 2.79-3.03
Tm2 0.5947 0.7036 0.4432  4 Ga 2.87-3.17
Tm3 0.8911 0.2964 0.5568  4 Ga 2.87-3.17
Ga3 0.3424 0.6848 0.1642  7 Tm 2.97-3.28
Tl1 0.2820 0.0000 0.0000  1 Tl 3.04, 6 Tm 3.07-3.29
Ga4 0.6576 0.3152 0.8358  7 Tm 2.97-3.28
Ga5 0.0000 0.0000 0.5000  6 Tm 2.95-3.13
Tm4 0.1089 0.7036 0.4432  4 Ga 2.87-3.17
Tm5 0.5619 0.6254 0.8737  2 Ga 2.79-3.00, 1 Tl 3.07
Tm6 0.4053 0.2964 0.5568  4 Ga 2.87-3.17
Tl2 0.7180 0.0000 0.0000  1 Tl 3.04, 6 Tm 3.07-3.29
Tm7 0.9156 0.8313 0.1879  2 Tl 3.10, 1 Ga 3.13, 2 Tm 3.31
Tm8 0.0844 0.1687 0.8121  2 Tl 3.10, 1 Ga 3.13, 2 Tm 3.31
Tm9 0.5198 0.0397 0.3057  2 Ga 2.97-3.03, 2 Tl 3.29
Tm10 0.0635 0.6254 0.8737  2 Ga 2.79-3.00, 1 Tl 3.07
Tm11 0.9365 0.3746 0.1263  2 Ga 2.79-3.00, 1 Tl 3.07
Tm12 0.4381 0.3746 0.1263  2 Ga 2.79-3.00, 1 Tl 3.07

=====

3.
Entry from Alexandria via LeMat-Bulk: crystalline CaTa2ZnW at its relaxed geometry (PBE-GGA).

## Properties
Energy relative to the lowest polymorph listed for this composition (kJ per mole of atoms): 0.00
DFT total energy (eV/atom): -6.555
Crystal system: tetragonal
Formation enthalpy at 0 K (eV per atom): 1.431
Symmetry: P4/mmm, No. 123

Cell: 4.8662 5.6699 4.8662 Å, 90.00 90.00 90.00°
Last column: nearest neighbours and their distance in Å.
Fractional positions:
Ta1 0.5000 0.0000 0.0000  2 W 2.43
W1 0.0000 0.0000 0.0000  4 Ta 2.43
Zn1 0.5000 0.5000 0.5000  4 Ca 3.44, 8 Ta 3.74
Ca1 0.0000 0.5000 0.0000  2 W 2.83
Ta2 0.0000 0.0000 0.5000  2 W 2.43

=====

4.
Entry from Alexandria via LeMat-Bulk: crystalline Tc2IrSe at its relaxed geometry (PBE-GGA).

## Properties
DFT total energy (eV/atom): -7.759
Crystal system: orthorhombic
Symmetry: Cmm2, No. 35
Uncorrected formation energy (kJ/mol of formula units): 197

Cell: 2.7628 2.7628 9.3704 Å, 90.00 90.00 118.18°
Last column: nearest neighbours and their distance in Å.
Fractional positions:
Se1 0.5000 0.5000 0.7628  2 Tc 2.71, 6 Se 2.76-2.84, 2 Ir 2.98
Tc1 0.5000 0.5000 0.2443  8 Tc 2.62-2.84, 2 Ir 2.65
Tc2 0.0000 0.0000 0.0096  8 Tc 2.62-2.84, 2 Se 2.71
Ir1 0.0000 0.0000 0.4833  2 Tc 2.65, 6 Ir 2.76-2.84

=====

5.
Entry from Alexandria via LeMat-Bulk: crystalline La3PmY3Se8 at its relaxed geometry (PBE-GGA).

## Properties
DFT total energy (eV/atom): -6.377
Crystal system: trigonal
Symmetry: R-3m, No. 166
Uncorrected formation energy (kJ/mol of formula units): -2783

Cell: 8.3171 8.3177 8.4303 Å, 119.56 90.00 120.00°
Last column: nearest neighbours and their distance in Å.
Fractional positions:
Se1 0.7443 0.4885 0.7331  3 Y 2.89, 3 La 3.03
Se2 0.2523 0.9884 0.7408  2 Y 2.89, 1 Pm 2.99, 2 La 3.03
Se3 0.2640 0.0116 0.2592  2 Y 2.89, 1 Pm 2.99, 2 La 3.03
Y1 0.5000 0.0000 0.5000  6 Se 2.89
Se4 0.7477 0.0116 0.2592  2 Y 2.89, 1 Pm 2.99, 2 La 3.03
La1 0.5000 0.5000 0.0000  6 Se 3.03
Se5 0.2557 0.5115 0.2669  3 Y 2.89, 3 La 3.03
Pm1 0.0000 0.0000 0.5000  6 Se 2.99
La2 0.0000 0.5000 0.0000  6 Se 3.03
Y2 0.0000 0.5000 0.5000  6 Se 2.89
La3 0.0000 0.0000 0.0000  6 Se 3.03
Se6 0.7475 0.4950 0.2590  2 Y 2.89, 1 Pm 2.99, 2 La 3.03
Se7 0.2525 0.5050 0.7410  2 Y 2.89, 1 Pm 2.99, 2 La 3.03
Y3 0.5000 0.5000 0.5000  6 Se 2.89
Se8 0.7360 0.9884 0.7408  2 Y 2.89, 1 Pm 2.99, 2 La 3.03

=====

6.
Entry from Alexandria via LeMat-Bulk: crystalline SmTlCd4 at its relaxed geometry (PBE-GGA).

## Properties
Energy relative to the lowest polymorph listed for this composition (kJ per mole of atoms): 0.00
DFT total energy (eV/atom): -1.989
Crystal system: orthorhombic
Formation enthalpy at 0 K (eV per atom): -0.198
Symmetry: Cmcm, No. 63

Cell: 5.0798 6.6057 9.5794 Å, 69.83 89.99 89.98°
Last column: nearest neighbours and their distance in Å.
Fractional positions:
Cd1 0.2500 0.9638 0.0811  4 Cd 2.93-3.25
Sm1 0.7500 0.1210 0.2581  2 Tl 3.30, 12 Cd 3.31-3.48
Sm2 0.2500 0.8790 0.7419  2 Tl 3.30, 12 Cd 3.31-3.48
Cd2 0.7498 0.1993 0.5854  4 Cd 2.97-3.20, 2 Sm 3.31-3.32
Tl1 0.7500 0.6205 0.2590  2 Sm 3.30, 12 Cd 3.36-3.46
Cd3 0.7500 0.0362 0.9189  4 Cd 2.93-3.25
Cd4 0.2502 0.8007 0.4146  4 Cd 2.97-3.20, 2 Sm 3.31-3.32
Cd5 0.2500 0.4551 0.0811  4 Cd 2.93-3.25
Tl2 0.2500 0.3795 0.7410  2 Sm 3.30, 12 Cd 3.36-3.46
Cd6 0.7500 0.5449 0.9189  4 Cd 2.93-3.25
Cd7 0.2498 0.2847 0.4146  4 Cd 2.97-3.20, 2 Sm 3.31-3.32
Cd8 0.7502 0.7153 0.5854  4 Cd 2.97-3.20, 2 Sm 3.31-3.32

=====

7.
Entry from Alexandria via LeMat-Bulk: crystalline MnZnFe14 at its relaxed geometry (PBE-GGA).

## Properties
DFT total energy (eV/atom): -8.014
Crystal system: orthorhombic
Formation enthalpy at 0 K (eV per atom): 0.043
Symmetry: Cmmm, No. 65

Cell: 4.9248 4.9248 8.0514 Å, 90.00 90.00 109.46°
Last column: nearest neighbours and their distance in Å.
Fractional positions:
Fe1 0.6249 0.8750 0.0000  8 Fe 2.46-2.47
Fe2 0.8795 0.6293 0.2476  6 Fe 2.43-2.47, 1 Mn 2.47, 1 Zn 2.49
Fe3 0.1249 0.8751 0.0000  8 Fe 2.43-2.46
Mn1 0.1250 0.8750 0.5000  8 Fe 2.46-2.47
Zn1 0.6248 0.3752 0.5000  8 Fe 2.46-2.49
Fe4 0.6250 0.8752 0.5000  4 Fe 2.46, 2 Mn 2.46, 2 Zn 2.46
Fe5 0.8738 0.1262 0.2510  8 Fe 2.46-2.47
Fe6 0.3764 0.6236 0.7490  8 Fe 2.46-2.47
Fe7 0.8738 0.1262 0.7490  8 Fe 2.46-2.47
Fe8 0.3707 0.1205 0.7524  6 Fe 2.43-2.47, 1 Mn 2.47, 1 Zn 2.49
Fe9 0.1250 0.3751 0.0000  8 Fe 2.46-2.47
Fe10 0.8795 0.6293 0.7524  6 Fe 2.43-2.47, 1 Mn 2.47, 1 Zn 2.49
Fe11 0.3764 0.6236 0.2510  8 Fe 2.46-2.47
Fe12 0.3707 0.1205 0.2476  6 Fe 2.43-2.47, 1 Mn 2.47, 1 Zn 2.49
Fe13 0.6250 0.3750 0.0000  8 Fe 2.46
Fe14 0.1248 0.3750 0.5000  4 Fe 2.46, 2 Zn 2.46, 2 Mn 2.46

=====

8.
Entry from Alexandria via LeMat-Bulk: crystalline Fe2HgMo at its relaxed geometry (PBE-GGA).

## Properties
DFT total energy (eV/atom): -6.691
Crystal system: tetragonal
Formation enthalpy at 0 K (eV per atom): 0.323
Symmetry: P4mm, No. 99

Cell: 2.9312 2.9312 6.9979 Å, 90.00 90.00 90.00°
Last column: nearest neighbours and their distance in Å.
Fractional positions:
Fe1 0.5000 0.5000 0.2058  4 Fe 2.47
Mo1 0.5000 0.5000 0.7971  5 Fe 2.57-2.86
Fe2 0.0000 0.0000 0.0144  4 Fe 2.47, 4 Mo 2.57
Hg1 0.0000 0.0000 0.4828  4 Fe 2.84, 4 Hg 2.93, 4 Mo 3.02